This record from Alexandria describes crystalline LaTbHo5Tm2 at its relaxed geometry. The functional is PBE.

Cell and atoms, written as CIF:
```
data_LaTbHo5Tm2
_chemical_formula_sum 'La4 Tb4 Ho20 Tm8'
_space_group_name_H-M_alt 'C m c 21'
_space_group_IT_number 36
_space_group_name_Hall 'C 2c -2'
_cell_length_a 5.591
_cell_length_b 19.793
_cell_length_c 10.485
_cell_angle_alpha 90.00
_cell_angle_beta 90.00
_cell_angle_gamma 90.00
loop_
_atom_site_label
_atom_site_type_symbol
_atom_site_fract_x
_atom_site_fract_y
_atom_site_fract_z
La1 La 0.000 0.082 0.000
Tb1 Tb 0.000 0.301 0.566
Ho1 Ho 0.000 0.022 0.288
Ho2 Ho 0.000 0.113 0.576
Ho3 Ho 0.000 0.202 0.263
Ho4 Ho 0.000 0.220 0.867
Ho5 Ho 0.000 0.483 0.578
Tm1 Tm 0.000 0.387 0.872
Tm2 Tm 0.000 0.388 0.286
```

Results
Energy of formation, meV/atom: 171

=====

This record from Alexandria describes crystalline Tl2PbN at its relaxed geometry. The functional is PBE.

Cell and atoms, written as CIF:
```
data_Tl2PbN
_chemical_formula_sum 'Tl8 Pb4 N4'
_space_group_name_H-M_alt 'F m -3 m'
_space_group_IT_number 225
_space_group_name_Hall '-F 4 2 3'
_cell_length_a 7.328
_cell_length_b 7.328
_cell_length_c 7.328
_cell_angle_alpha 90.00
_cell_angle_beta 90.00
_cell_angle_gamma 90.00
loop_
_atom_site_label
_atom_site_type_symbol
_atom_site_fract_x
_atom_site_fract_y
_atom_site_fract_z
Tl1 Tl 0.250 0.250 0.250
Pb1 Pb 0.000 0.000 0.000
N1 N 0.000 0.000 0.500
```

Results
E_form (uncorrected), eV per atom: 1.15
Relative energy among the computed polymorphs, eV per formula unit: 1.897

=====

This record from Alexandria describes crystalline RbHoGeS4 at its relaxed geometry. The functional is PBE.

Cell and atoms, written as CIF:
```
data_RbHoGeS4
_chemical_formula_sum 'Rb2 Ho2 Ge2 S8'
_space_group_name_H-M_alt 'P 1 21/m 1'
_space_group_IT_number 11
_space_group_name_Hall '-P 2yb'
_cell_length_a 6.493
_cell_length_b 6.758
_cell_length_c 9.111
_cell_angle_alpha 90.00
_cell_angle_beta 107.79
_cell_angle_gamma 90.00
loop_
_atom_site_label
_atom_site_type_symbol
_atom_site_fract_x
_atom_site_fract_y
_atom_site_fract_z
Rb1 Rb 0.237 0.250 0.439
Ho1 Ho 0.278 0.250 0.951
Ge1 Ge 0.271 0.750 0.164
S1 S 0.056 0.750 0.923
S2 S 0.069 0.750 0.319
S3 S 0.496 0.503 0.802
```

Results
E_form (uncorrected), eV per atom: -1.25

=====

This record from Alexandria describes crystalline Re2TcTe at its relaxed geometry. The functional is PBE.

Cell and atoms, written as CIF:
```
data_Re2TcTe
_chemical_formula_sum 'Re4 Tc2 Te2'
_space_group_name_H-M_alt 'I 4/m m m'
_space_group_IT_number 139
_space_group_name_Hall '-I 4 2'
_cell_length_a 3.915
_cell_length_b 3.915
_cell_length_c 8.414
_cell_angle_alpha 90.00
_cell_angle_beta 90.00
_cell_angle_gamma 90.00
loop_
_atom_site_label
_atom_site_type_symbol
_atom_site_fract_x
_atom_site_fract_y
_atom_site_fract_z
Re1 Re 0.000 0.500 0.250
Tc1 Tc 0.000 0.000 0.000
Te1 Te 0.000 0.000 0.500
```

Results
E_form (uncorrected), eV per atom: 0.74

=====

This record from Alexandria describes crystalline TlIr2Pt at its relaxed geometry. The functional is PBE.

Cell and atoms, written as CIF:
```
data_TlIr2Pt
_chemical_formula_sum 'Tl2 Ir4 Pt2'
_space_group_name_H-M_alt 'I 4/m m m'
_space_group_IT_number 139
_space_group_name_Hall '-I 4 2'
_cell_length_a 4.130
_cell_length_b 4.130
_cell_length_c 7.777
_cell_angle_alpha 90.00
_cell_angle_beta 90.00
_cell_angle_gamma 90.00
loop_
_atom_site_label
_atom_site_type_symbol
_atom_site_fract_x
_atom_site_fract_y
_atom_site_fract_z
Tl1 Tl 0.000 0.000 0.000
Ir1 Ir 0.000 0.500 0.250
Pt1 Pt 0.000 0.000 0.500
```

Results
Energy of formation, meV/atom: 413
Relative energy among the computed polymorphs, eV per formula unit: 0.371

=====

This record from Alexandria describes crystalline Er4Sb3O at its relaxed geometry. The functional is PBE.

Cell and atoms, written as CIF:
```
data_Er4Sb3O
_chemical_formula_sum 'Er8 Sb6 O2'
_space_group_name_H-M_alt 'P m n 21'
_space_group_IT_number 31
_space_group_name_Hall 'P 2ac -2'
_cell_length_a 11.849
_cell_length_b 6.102
_cell_length_c 6.103
_cell_angle_alpha 90.00
_cell_angle_beta 90.00
_cell_angle_gamma 90.00
loop_
_atom_site_label
_atom_site_type_symbol
_atom_site_fract_x
_atom_site_fract_y
_atom_site_fract_z
Er1 Er 0.000 0.153 0.000
Er2 Er 0.000 0.747 0.403
Er3 Er 0.247 0.759 0.004
Sb1 Sb 0.000 0.247 0.499
Sb2 Sb 0.250 0.259 0.004
O1 O 0.000 0.816 0.067
```

Results
E_form (uncorrected), eV per atom: -1.40

=====

Copy entry 4 word for word.
This record from Alexandria describes crystalline Re2TcTe at its relaxed geometry. The functional is PBE.

Cell and atoms, written as CIF:
```
data_Re2TcTe
_chemical_formula_sum 'Re4 Tc2 Te2'
_space_group_name_H-M_alt 'I 4/m m m'
_space_group_IT_number 139
_space_group_name_Hall '-I 4 2'
_cell_length_a 3.915
_cell_length_b 3.915
_cell_length_c 8.414
_cell_angle_alpha 90.00
_cell_angle_beta 90.00
_cell_angle_gamma 90.00
loop_
_atom_site_label
_atom_site_type_symbol
_atom_site_fract_x
_atom_site_fract_y
_atom_site_fract_z
Re1 Re 0.000 0.500 0.250
Tc1 Tc 0.000 0.000 0.000
Te1 Te 0.000 0.000 0.500
```

Results
E_form (uncorrected), eV per atom: 0.74

=====

What is the formula in the fourth record? Re2TcTe

=====

What is the formula in the first record? LaTbHo5Tm2